[1]
Compound: La7Mo7O30
Source: the Alexandria database
Functional: SCAN
Structure: PBEsol geometry

Raw total energy, eV/cell: -861.23
Density, g/cm3: 6.3
Magnetic moment, μB per formula unit: 3.048
Raw formation energy, eV/f.u.: -128.4

a b c (Å): 10.0436 10.0436 10.0436
angles (deg): 115.10 115.10 115.10
Sites, in units of the cell vectors:
La  0.0000  0.0000  0.0000
La  0.1120  0.3465  0.5376
La  0.3465  0.5376  0.1120
La  0.4624  0.8880  0.6535
La  0.5376  0.1120  0.3465
La  0.6535  0.4624  0.8880
La  0.8880  0.6535  0.4624
Mo  0.0151  0.6334  0.8398
Mo  0.1602  0.9849  0.3666
Mo  0.3666  0.1602  0.9849
Mo  0.5000  0.5000  0.5000
Mo  0.6334  0.8398  0.0151
Mo  0.8398  0.0151  0.6334
Mo  0.9849  0.3666  0.1602
O  0.0190  0.7902  0.0763
O  0.0341  0.5223  0.3859
O  0.0424  0.2419  0.7039
O  0.0763  0.0190  0.7902
O  0.2098  0.9237  0.9810
O  0.2123  0.3866  0.3533
O  0.2218  0.6023  0.2668
O  0.2419  0.7039  0.0424
O  0.2668  0.2218  0.6023
O  0.2961  0.9576  0.7581
O  0.3533  0.2123  0.3866
O  0.3859  0.0341  0.5223
O  0.3866  0.3533  0.2123
O  0.3977  0.7332  0.7782
O  0.4777  0.6141  0.9659
O  0.5223  0.3859  0.0341
O  0.6023  0.2668  0.2218
O  0.6134  0.6467  0.7877
O  0.6141  0.9659  0.4777
O  0.6467  0.7877  0.6134
O  0.7039  0.0424  0.2419
O  0.7332  0.7782  0.3977
O  0.7581  0.2961  0.9576
O  0.7782  0.3977  0.7332
O  0.7877  0.6134  0.6467
O  0.7902  0.0763  0.0190
O  0.9237  0.9810  0.2098
O  0.9576  0.7581  0.2961
O  0.9659  0.4777  0.6141
O  0.9810  0.2098  0.9237


[2]
Compound: La3MoO7
Source: the Alexandria database
Functional: SCAN
Structure: PBEsol geometry

Raw total energy, eV/cell: -977.60
Density, g/cm3: 6.5
Magnetic moment, μB per formula unit: 1.008
Raw formation energy, eV/f.u.: -36.6

a b c (Å): 7.5450 7.6410 11.0335
angles (deg): 90.00 90.00 90.00
Sites, in units of the cell vectors:
La  0.0262  0.0068  0.2464
La  0.1905  0.2510  0.5209
La  0.1969  0.2472  0.9684
La  0.3031  0.7528  0.4684
La  0.3095  0.7490  0.0209
La  0.4738  0.9932  0.7464
La  0.5262  0.4932  0.7536
La  0.6905  0.2490  0.4791
La  0.6969  0.2528  0.0316
La  0.8031  0.7472  0.5316
La  0.8095  0.7510  0.9791
La  0.9738  0.5068  0.2536
Mo  0.0020  0.5019  0.7496
Mo  0.4980  0.4981  0.2496
Mo  0.5020  0.9981  0.2504
Mo  0.9980  0.0019  0.7504
O  0.0169  0.7583  0.3804
O  0.0382  0.7467  0.1190
O  0.0541  0.2530  0.7423
O  0.1440  0.5453  0.6109
O  0.1837  0.9662  0.6276
O  0.1920  0.5323  0.8681
O  0.2081  0.9667  0.8706
O  0.2919  0.0333  0.3706
O  0.3080  0.4677  0.3681
O  0.3163  0.0338  0.1276
O  0.3560  0.4547  0.1109
O  0.4459  0.7470  0.2423
O  0.4618  0.2533  0.6190
O  0.4831  0.2417  0.8804
O  0.5169  0.7417  0.6196
O  0.5382  0.7533  0.8810
O  0.5541  0.2470  0.2577
O  0.6440  0.9547  0.3891
O  0.6837  0.5338  0.3724
O  0.6920  0.9677  0.1319
O  0.7081  0.5333  0.1294
O  0.7919  0.4667  0.6294
O  0.8080  0.0323  0.6319
O  0.8163  0.4662  0.8724
O  0.8560  0.0453  0.8891
O  0.9459  0.7530  0.7577
O  0.9618  0.2467  0.3810
O  0.9831  0.2583  0.1196


[3]
Compound: La3MoO7
Source: the Alexandria database
Functional: SCAN
Structure: PBEsol geometry

Raw total energy, eV/cell: -977.68
Density, g/cm3: 6.5
Magnetic moment, μB per formula unit: 1.002
Raw formation energy, eV/f.u.: -36.6

a b c (Å): 7.6464 11.0656 7.4971
angles (deg): 90.00 90.00 90.00
Sites, in units of the cell vectors:
La  0.0055  0.2500  0.2267
La  0.2492  0.5266  0.0579
La  0.2492  0.9734  0.0579
La  0.2508  0.0266  0.5579
La  0.2508  0.4734  0.5579
La  0.4945  0.7500  0.7267
La  0.5055  0.2500  0.2733
La  0.7492  0.5266  0.4421
La  0.7492  0.9734  0.4421
La  0.7508  0.0266  0.9421
La  0.7508  0.4734  0.9421
La  0.9945  0.7500  0.7733
Mo  0.0021  0.7500  0.2520
Mo  0.4979  0.2500  0.7520
Mo  0.5021  0.7500  0.2480
Mo  0.9979  0.2500  0.7480
O  0.0334  0.1282  0.9453
O  0.0334  0.3718  0.9453
O  0.0383  0.6220  0.4225
O  0.0383  0.8780  0.4225
O  0.2477  0.2500  0.6950
O  0.2483  0.6198  0.7786
O  0.2483  0.8802  0.7786
O  0.2517  0.1198  0.2786
O  0.2517  0.3802  0.2786
O  0.2523  0.7500  0.1950
O  0.4617  0.1220  0.9225
O  0.4617  0.3780  0.9225
O  0.4666  0.6282  0.4453
O  0.4666  0.8718  0.4453
O  0.5334  0.1282  0.5547
O  0.5334  0.3718  0.5547
O  0.5383  0.6220  0.0775
O  0.5383  0.8780  0.0775
O  0.7477  0.2500  0.8050
O  0.7483  0.6198  0.7214
O  0.7483  0.8802  0.7214
O  0.7517  0.1198  0.2214
O  0.7517  0.3802  0.2214
O  0.7523  0.7500  0.3050
O  0.9617  0.1220  0.5775
O  0.9617  0.3780  0.5775
O  0.9666  0.6282  0.0547
O  0.9666  0.8718  0.0547